No. 1
{"formula": "SmGeRh", "functional": "GGA-PBEsol", "state": "relaxed", "magnetic_moment_mub_per_cell": 0.00, "delta_e_f_mev_per_atom": -955, "crystal_system": "orthorhombic", "cell": [[4.353, 0.000, 0.000], [0.000, 7.029, 0.000], [0.000, 0.000, 7.381]], "species": ["Sm", "Rh", "Rh", "Ge", "Ge", "Sm", "Ge", "Rh", "Ge", "Sm", "Sm", "Rh"], "frac_coords": [[0.750, 0.007, 0.690], [0.750, 0.345, 0.428], [0.250, 0.155, 0.928], [0.250, 0.296, 0.603], [0.750, 0.704, 0.397], [0.250, 0.993, 0.310], [0.750, 0.204, 0.103], [0.250, 0.655, 0.572], [0.250, 0.796, 0.897], [0.250, 0.493, 0.190], [0.750, 0.507, 0.810], [0.750, 0.845, 0.072]]}


No. 2
{"formula": "Sr3GeRh", "functional": "GGA-PBEsol", "state": "relaxed", "magnetic_moment_mub_per_cell": 0.77, "delta_e_f_mev_per_atom": 414, "crystal_system": "cubic", "cell": [[5.783, 0.000, 0.000], [0.000, 5.783, 0.000], [0.000, 0.000, 5.783]], "species": ["Sr", "Sr", "Sr", "Rh", "Ge"], "frac_coords": [[0.000, 0.000, 0.500], [0.000, 0.500, 0.000], [0.500, 0.000, 0.000], [0.500, 0.500, 0.500], [0.000, 0.000, 0.000]]}